No. 1
VASP calculation (SCAN) on a PBEsol-optimized structure of MnNiAu.

Lattice parameters (Å, degrees): 3.0651 3.0651 8.5809 90.00 90.00 90.00
Space group I4mm (No. 107)
Unique sites:
Mn (0.0000, 0.0000, 0.0000) x2
Ni (0.0000, 0.0000, 0.3628) x2
Au (0.0000, 0.0000, 0.6821) x2

Properties
magnetization: 4.4 μB per formula unit
DOS(E_F): 1.298 states/eV/f.u.
total DFT energy (no corrections): -34.800 eV per atom

No. 2
VASP calculation (SCAN) on a PBEsol-optimized structure of CaZnS2Cl.

Lattice parameters (Å, degrees): 4.5966 4.5966 4.9621 90.00 90.00 90.00
Space group P4/mmm (No. 123)
Unique sites:
Ca (0.0000, 0.0000, 0.0000) x1
Zn (0.5000, 0.5000, 0.5000) x1
S (0.0000, 0.5000, 0.5000) x2
Cl (0.5000, 0.5000, 0.0000) x1

Properties
magnetization: 0.0 μB per formula unit
E_form (uncorrected): -1052 meV per atom
DOS(E_F): 1.515 states/eV/f.u.